Record 1
AlCo3W | PBE | optimized geometry

a b c (Å): 4.414 4.414 4.414
angles (deg): 90.00 90.00 90.00
Sites, in units of the cell vectors:
Al 0.000 0.000 0.000
Co 0.000 0.500 0.500
Co 0.500 0.000 0.500
Co 0.500 0.500 0.000
W 0.500 0.500 0.500

Results
DOS(E_F) in states/eV/f.u.: 5.98
Raw total energy in eV/cell: -31.04
ΔE_f in eV per formula unit: 7.0

---

Record 2
NdScBiSb | PBE | optimized geometry

a b c (Å): 7.589 7.589 7.589
angles (deg): 33.70 33.70 33.70
Sites, in units of the cell vectors:
Nd 0.000 0.000 0.000
Sc 0.495 0.495 0.495
Bi 0.240 0.240 0.240
Sb 0.756 0.756 0.756

Results
DOS(E_F) in states/eV/f.u.: 0.83
Raw total energy in eV/cell: -22.78
Energy relative to the elements, uncorrected in meV per atom: -920

---

Record 3
SmGePbAu | PBE | optimized geometry

a b c (Å): 5.181 5.181 5.181
angles (deg): 60.00 60.00 60.00
Sites, in units of the cell vectors:
Sm 0.000 0.000 0.000
Ge 0.750 0.750 0.750
Pb 0.500 0.500 0.500
Au 0.250 0.250 0.250

Results
DOS(E_F) in states/eV/f.u.: 3.08
Raw total energy in eV/cell: -17.77
ΔE_f in eV per formula unit: -1.4

---

Record 4
Ba2CuPb | PBE | optimized geometry

a b c (Å): 6.509 6.509 6.509
angles (deg): 134.30 134.30 66.61
Sites, in units of the cell vectors:
Ba 0.000 0.000 0.000
Ba 0.750 0.250 0.500
Cu 0.500 0.500 0.000
Pb 0.250 0.750 0.500

Results
DOS(E_F) in states/eV/f.u.: 3.08
Raw total energy in eV/cell: -11.89
ΔE_f in eV per formula unit: -0.2